VASP calculation (GGA-PBE) on crystalline NiGeBCl2 at its relaxed geometry.

Calculated values
Calculated density = 3.5 Mg/m³
Crystal system = tetragonal
Formation energy without anion corrections = 0.9710 eV/atom
E = -3.1829 eV per atom
Fermi-level density of states = 6.3 states/eV per cell

abc: 5.170 5.170 3.828
angles: 90.00 90.00 90.00
Element x y z (fractional)
Ni 0.000 0.000 0.000
Ge 0.500 0.500 0.500
B 0.500 0.500 0.000
Cl 0.000 0.500 0.500
Cl 0.500 0.000 0.500